No. 1
A plane-wave DFT calculation with meta-GGA SCAN was carried out for a PBEsol-optimized structure of K3GePCO7.

Results
SG	No. 11

a b c (Å): 6.0923 7.0046 9.6605
angles (deg): 90.00 95.88 90.00
Last column: nearest neighbours and their distance in Å.
Fractional coordinates of all 26 atoms:
K 0.1984 0.0035 0.2249  5 O 2.52-2.81
K 0.1984 0.4965 0.2249  5 O 2.52-2.81
K 0.2960 0.2500 0.5795  4 O 2.67-2.74
K 0.7040 0.7500 0.4205  4 O 2.67-2.74
K 0.8016 0.5035 0.7751  5 O 2.52-2.81
K 0.8016 0.9965 0.7751  5 O 2.52-2.81
Ge 0.3184 0.7500 0.8608  2 O 1.91-2.00
Ge 0.6816 0.2500 0.1392  2 O 1.91-2.00
P 0.2891 0.2500 0.9041  4 O 1.52-1.59
P 0.7109 0.7500 0.0959  4 O 1.52-1.59
C 0.2359 0.7500 0.5752  3 O 1.28-1.34
C 0.7641 0.2500 0.4248  3 O 1.28-1.34
O 0.0392 0.2500 0.8998  1 P 1.52
O 0.0436 0.7500 0.6186  1 C 1.28
O 0.2681 0.7500 0.4464  1 C 1.28
O 0.3780 0.0719 0.8315  1 P 1.56
O 0.3780 0.4281 0.8315  1 P 1.56
O 0.3790 0.2500 0.0649  1 P 1.59
O 0.4142 0.7500 0.6690  1 C 1.34
O 0.5858 0.2500 0.3310  1 C 1.34
O 0.6210 0.7500 0.9351  1 P 1.59
O 0.6220 0.5719 0.1685  1 P 1.56
O 0.6220 0.9281 0.1685  1 P 1.56
O 0.7319 0.2500 0.5536  1 C 1.28
O 0.9564 0.2500 0.3814  1 C 1.28
O 0.9608 0.7500 0.1002  1 P 1.52

***

No. 2
A plane-wave DFT calculation with meta-GGA SCAN was carried out for a PBEsol-optimized structure of KSi2GeC.

Results
SG	No. 123

a b c (Å): 4.7142 4.7142 6.3580
angles (deg): 90.00 90.00 90.00
Last column: nearest neighbours and their distance in Å.
Fractional coordinates of all 5 atoms:
K 0.0000 0.0000 0.0000  2 Ge 3.18, 4 C 3.33
Si 0.0000 0.5000 0.5000  2 Ge 2.36
Si 0.5000 0.0000 0.5000  2 Ge 2.36
Ge 0.0000 0.0000 0.5000  4 Si 2.36
C 0.5000 0.5000 0.0000  4 K 3.33

***

No. 3
A plane-wave DFT calculation with meta-GGA SCAN was carried out for a PBEsol-optimized structure of LaGeC2.

Results
formation enthalpy at 0 K	0.428	eV/atom
SG	No. 122

a b c (Å): 5.3905 5.3905 5.3905
angles (deg): 113.11 113.11 102.41
Last column: nearest neighbours and their distance in Å.
Fractional coordinates of all 8 atoms:
La 0.0000 0.0000 0.0000  4 C 2.60
La 0.7500 0.2500 0.5000  4 C 2.60
Ge 0.2500 0.7500 0.5000  4 C 1.98
Ge 0.5000 0.5000 0.0000  4 C 1.98
C 0.2058 0.6250 0.0808  2 Ge 1.98
C 0.3750 0.4558 0.5808  2 Ge 1.98
C 0.5442 0.1250 0.9192  2 Ge 1.98
C 0.8750 0.7942 0.4192  2 Ge 1.98

***

No. 4
A plane-wave DFT calculation with meta-GGA SCAN was carried out for a PBEsol-optimized structure of LaGe2CSe.

Results
SG	No. 123

a b c (Å): 4.2454 4.2454 5.4452
angles (deg): 90.00 90.00 90.00
Last column: nearest neighbours and their distance in Å.
Fractional coordinates of all 5 atoms:
La 0.0000 0.0000 0.0000  2 C 2.72, 4 Se 3.00
Ge 0.0000 0.5000 0.5000  2 C 2.12
Ge 0.5000 0.0000 0.5000  2 C 2.12
C 0.0000 0.0000 0.5000  4 Ge 2.12
Se 0.5000 0.5000 0.0000  4 La 3.00

***

No. 5
A plane-wave DFT calculation with meta-GGA SCAN was carried out for a PBEsol-optimized structure of Li3GeC.

Results
formation enthalpy at 0 K	1.270	eV/atom
SG	No. 221

a b c (Å): 4.7397 4.7397 4.7397
angles (deg): 90.00 90.00 90.00
Last column: nearest neighbours and their distance in Å.
Fractional coordinates of all 5 atoms:
Li 0.0000 0.0000 0.5000  2 Ge 2.37
Li 0.0000 0.5000 0.0000  2 Ge 2.37
Li 0.5000 0.0000 0.0000  2 Ge 2.37
Ge 0.0000 0.0000 0.0000  6 Li 2.37
C 0.5000 0.5000 0.5000  12 Li 3.35

***

No. 6
A plane-wave DFT calculation with meta-GGA SCAN was carried out for a PBEsol-optimized structure of Lu5Ge3C.

Results
formation enthalpy at 0 K	-0.843	eV/atom
SG	No. 193

a b c (Å): 8.2022 8.2022 6.1672
angles (deg): 90.00 90.00 120.00
Last column: nearest neighbours and their distance in Å.
Fractional coordinates of all 18 atoms:
Lu 0.0000 0.2212 0.2500  2 C 2.38
Lu 0.0000 0.7788 0.7500  2 C 2.38
Lu 0.2212 0.0000 0.2500  2 C 2.38
Lu 0.2212 0.2212 0.7500  2 C 2.38
Lu 0.3333 0.6667 0.0000  6 Ge 2.92, 2 Lu 3.08
Lu 0.3333 0.6667 0.5000  6 Ge 2.92, 2 Lu 3.08
Lu 0.6667 0.3333 0.0000  6 Ge 2.92, 2 Lu 3.08
Lu 0.6667 0.3333 0.5000  6 Ge 2.92, 2 Lu 3.08
Lu 0.7788 0.0000 0.7500  2 C 2.38
Lu 0.7788 0.7788 0.2500  2 C 2.38
Ge 0.0000 0.4081 0.7500  7 Lu 2.90-3.04
Ge 0.0000 0.5919 0.2500  7 Lu 2.90-3.04
Ge 0.4081 0.0000 0.7500  7 Lu 2.90-3.04
Ge 0.4081 0.4081 0.2500  7 Lu 2.90-3.04
Ge 0.5919 0.0000 0.2500  7 Lu 2.90-3.04
Ge 0.5919 0.5919 0.7500  7 Lu 2.90-3.04
C 0.0000 0.0000 0.0000  6 Lu 2.38
C 0.0000 0.0000 0.5000  6 Lu 2.38

***

No. 7
A plane-wave DFT calculation with meta-GGA SCAN was carried out for a PBEsol-optimized structure of MgGe3C.

Results
formation enthalpy at 0 K	2.085	eV/atom
SG	No. 221

a b c (Å): 4.8644 4.8644 4.8644
angles (deg): 90.00 90.00 90.00
Last column: nearest neighbours and their distance in Å.
Fractional coordinates of all 5 atoms:
Mg 0.0000 0.0000 0.0000  6 Ge 2.43
Ge 0.0000 0.0000 0.5000  2 Mg 2.43
Ge 0.0000 0.5000 0.0000  2 Mg 2.43
Ge 0.5000 0.0000 0.0000  2 Mg 2.43
C 0.5000 0.5000 0.5000  12 Ge 3.44

***

No. 8
A plane-wave DFT calculation with meta-GGA SCAN was carried out for a PBEsol-optimized structure of MnGe3C.

Results
formation enthalpy at 0 K	1.022	eV/atom
SG	No. 221

a b c (Å): 4.2728 4.2728 4.2728
angles (deg): 90.00 90.00 90.00
Last column: nearest neighbours and their distance in Å.
Fractional coordinates of all 5 atoms:
Mn 0.0000 0.0000 0.0000  12 Ge 3.02
Ge 0.0000 0.5000 0.5000  2 C 2.14
Ge 0.5000 0.0000 0.5000  2 C 2.14
Ge 0.5000 0.5000 0.0000  2 C 2.14
C 0.5000 0.5000 0.5000  6 Ge 2.14

***

| no. | raw total energy (eV per atom) |
| --- | --- |
| 1 | -10.360 |
| 2 | -9.648 |
| 3 | -20.170 |
| 4 | -22.325 |
| 5 | -6.001 |
| 6 | -39.075 |
| 7 | -12.382 |
| 8 | -16.101 |